Sc3Sn2Pt (PBE, optimized geometry); raw total energy = -0.46378 Ry/atom
1.0
11.607 0.000 0.000
0.000 4.421 0.000
0.000 0.000 10.480
Sc Sn Pt
12 8 4
Cartesian
0.625 1.105 1.425
1.617 3.316 5.915
2.840 1.105 8.372
2.963 3.316 3.132
4.187 1.105 0.675
5.178 3.316 6.665
6.429 1.105 3.815
7.420 3.316 9.805
8.644 1.105 7.348
8.767 3.316 2.108
9.990 1.105 4.565
10.982 3.316 9.055
0.139 1.105 7.177
2.035 3.316 0.087
3.768 1.105 5.327
5.665 3.316 1.937
5.942 1.105 8.543
7.839 3.316 5.152
9.572 1.105 10.392
11.468 3.316 3.303
1.330 1.105 4.077
4.474 3.316 9.317
7.133 1.105 1.163
10.277 3.316 6.403

=====

Sc3SnPt (PBE, optimized geometry); raw total energy = -0.46209 Ry/atom; energy above the lowest structure with this stoichiometry = 0.0 kJ per mole of atoms
1.0
5.061 0.000 0.000
0.000 5.061 0.000
0.000 0.000 5.061
Sc Sn Pt
3 1 1
Cartesian
0.000 0.000 2.531
0.000 2.531 0.000
2.531 0.000 0.000
2.531 2.531 2.531
0.000 0.000 0.000

=====

Sc2Sn2Pt (PBE, optimized geometry); raw total energy = -0.44298 Ry/atom
1.0
6.967 0.000 0.000
0.000 6.967 0.000
0.000 0.000 4.468
Sc Sn Pt
4 4 2
Cartesian
1.148 2.336 0.000
2.336 5.820 0.000
4.631 1.148 0.000
5.820 4.631 0.000
1.011 4.495 2.234
2.472 1.011 2.234
4.495 5.956 2.234
5.956 2.472 2.234
0.000 0.000 2.234
3.484 3.484 2.234

=====

Sc8Sn2Pt (PBE, optimized geometry); raw total energy = -0.46976 Ry/atom
1.0
9.094 -2.355 0.000
9.094 2.355 0.000
-1.714 0.000 5.932
Sc Sn Pt
8 2 1
Cartesian
-0.125 0.000 1.670
2.627 0.000 4.874
5.562 0.000 2.925
7.395 0.000 0.212
9.079 0.000 5.720
10.912 0.000 3.007
13.846 0.000 1.058
16.598 0.000 4.262
2.830 0.000 1.500
13.644 0.000 4.432
8.237 0.000 2.966

=====

Sc4SnPt (PBE, optimized geometry); raw total energy = -0.47725 Ry/atom
1.0
4.628 0.000 0.000
0.000 4.628 0.000
0.000 0.000 6.916
Sc Sn Pt
4 1 1
Cartesian
0.000 2.314 1.555
0.000 2.314 5.360
2.314 0.000 1.555
2.314 0.000 5.360
0.000 0.000 3.458
2.314 2.314 0.000

=====

ScSn3Pt (PBE, optimized geometry); raw total energy = -0.34702 Ry/atom; energy above the lowest structure with this stoichiometry = 0.0 kJ per mole of atoms
1.0
5.236 0.000 0.000
0.000 5.236 0.000
0.000 0.000 5.236
Sc Sn Pt
1 3 1
Cartesian
0.000 0.000 0.000
0.000 2.618 2.618
2.618 0.000 2.618
2.618 2.618 0.000
2.618 2.618 2.618

=====

ScSnPt4 (PBE, optimized geometry); raw total energy = -0.47462 Ry/atom
1.0
2.407 -4.537 0.000
2.407 4.537 0.000
-1.276 0.000 4.669
Sc Sn Pt
1 1 4
Cartesian
0.000 0.000 0.000
1.769 0.000 2.334
1.769 3.073 2.334
2.407 1.483 0.000
2.407 -1.483 0.000
1.769 -3.073 2.334

=====

ScSnPt3 (PBE, optimized geometry); raw total energy = -0.39345 Ry/atom; energy above the lowest structure with this stoichiometry = 4.1 kJ per mole of atoms
1.0
4.878 0.000 0.000
0.000 4.878 0.000
0.000 0.000 4.878
Sc Sn Pt
1 1 3
Cartesian
0.000 0.000 0.000
2.439 2.439 2.439
0.000 0.000 2.439
0.000 2.439 0.000
2.439 0.000 0.000

=====

ScSnPt6 (PBE, optimized geometry); raw total energy = -0.48207 Ry/atom
1.0
4.028 0.000 0.000
0.000 4.028 0.000
0.000 0.000 8.087
Sc Sn Pt
1 1 6
Cartesian
0.000 0.000 0.000
0.000 0.000 4.044
0.000 2.014 1.979
0.000 2.014 6.108
2.014 0.000 1.979
2.014 0.000 6.108
2.014 2.014 0.000
2.014 2.014 4.044

=====

ScSn3Pt (PBE, optimized geometry); raw total energy = -0.29995 Ry/atom; energy above the lowest structure with this stoichiometry = 61.8 kJ per mole of atoms
1.0
5.378 0.000 0.000
0.000 5.378 0.000
0.000 0.000 5.378
Sc Sn Pt
1 3 1
Cartesian
0.000 0.000 0.000
0.000 0.000 2.689
0.000 2.689 0.000
2.689 0.000 0.000
2.689 2.689 2.689

=====

ScSnPt3 (PBE, optimized geometry); raw total energy = -0.39660 Ry/atom; energy above the lowest structure with this stoichiometry = 0.0 kJ per mole of atoms
1.0
4.912 0.000 0.000
0.000 4.912 0.000
0.000 0.000 4.912
Sc Sn Pt
1 1 3
Cartesian
0.000 0.000 0.000
2.456 2.456 2.456
0.000 2.456 2.456
2.456 0.000 2.456
2.456 2.456 0.000

=====

SrScSn2Pt (PBE, optimized geometry); raw total energy = -0.27467 Ry/atom
1.0
5.356 0.000 0.000
0.000 5.356 0.000
0.000 0.000 5.853
Sr Sc Sn Pt
1 1 2 1
Cartesian
0.000 0.000 0.000
0.000 0.000 2.927
0.000 2.678 2.927
2.678 0.000 2.927
2.678 2.678 0.000

=====

Total magnetic moment / μB per formula unit: 0.0, 0.0, 0.0, 0.0, 0.0, 0.0, 0.0, 0.0, 0.0, 0.0, 0.0, 0.4
Calculated formation energy / eV/f.u.: -4.82, -2.40, -3.43, -5.61, -3.59, 0.77, -4.25, 1.69, -5.89, 3.98, 1.48, 3.37
Calculated volume / Å³/f.u.: 134.4, 129.7, 108.4, 254.0, 148.1, 143.6, 102.0, 116.1, 131.2, 155.5, 118.5, 167.9